(1)
Cu3Pd4Rh | the Alexandria database | PBE | optimized geometry; E = -81.1 eV for the cell shown; SG = Pmma; energy of formation from the pure elements = -20 meV/atom
1.0
4.641 0.000 0.000
0.000 5.480 0.000
0.000 0.000 8.880
Pd Cu Rh
8 6 2
direct
0.150 0.248 0.750
0.500 0.752 0.000
0.150 0.752 0.750
0.850 0.248 0.250
0.500 0.248 0.000
0.850 0.752 0.250
0.500 0.752 0.500
0.500 0.248 0.500
0.658 0.500 0.750
0.342 0.500 0.250
0.000 0.000 0.500
0.344 0.000 0.250
0.656 0.000 0.750
0.000 0.000 0.000
0.000 0.500 0.000
0.000 0.500 0.500

=====

(2)
Cu8Pd3Rh2 | the Alexandria database | PBE | optimized geometry; E = -61.1 eV for the cell shown; SG = R-3m; energy of formation from the pure elements = 151 meV/atom
1.0
4.696 0.000 0.000
2.348 4.067 0.000
2.348 1.356 9.471
Pd Cu Rh
3 8 2
direct
0.818 0.818 0.547
0.000 0.000 0.000
0.182 0.182 0.453
0.732 0.231 0.306
0.231 0.732 0.306
0.268 0.769 0.694
0.732 0.732 0.306
0.268 0.268 0.694
0.769 0.268 0.694
0.728 0.728 0.817
0.272 0.272 0.183
0.358 0.358 0.926
0.642 0.642 0.074

=====

(3)
Cu4PdRh | the Alexandria database | PBE | optimized geometry; E = -57.2 eV for the cell shown; energy above the most stable polymorph in this dataset = 47.9 meV/atom; SG = Cmcm; energy of formation from the pure elements = 54 meV/atom
1.0
3.532 1.551 -1.609
1.079 6.022 -2.678
-0.467 -1.221 8.653
Cu Pd Rh
8 2 2
direct
0.709 0.957 0.417
0.036 0.297 0.083
0.453 0.214 0.917
0.547 0.786 0.083
0.208 0.459 0.417
0.964 0.703 0.917
0.291 0.043 0.583
0.792 0.541 0.583
0.127 0.877 0.753
0.873 0.123 0.247
0.377 0.627 0.254
0.623 0.373 0.746

=====

(4)
Cu4Pd2Rh | the Alexandria database | PBE | optimized geometry; E = -66.6 eV for the cell shown; SG = Cmcm; energy of formation from the pure elements = 114 meV/atom
1.0
-3.857 -2.048 0.550
2.847 0.199 3.093
-5.045 10.563 3.962
Cu Pd Rh
8 4 2
direct
0.223 0.446 0.651
0.777 0.554 0.151
0.500 0.000 0.000
0.914 0.828 0.750
0.500 0.000 0.500
0.223 0.446 0.849
0.777 0.554 0.349
0.086 0.172 0.250
0.163 0.326 0.443
0.837 0.674 0.557
0.837 0.674 0.943
0.163 0.326 0.057
0.429 0.859 0.250
0.571 0.141 0.750

=====

(5)
Cu23Pd6Rh | the Alexandria database | PBE | optimized geometry; E = -132.3 eV for the cell shown; SG = Fm-3m; energy of formation from the pure elements = 13 meV/atom
1.0
7.130 0.000 4.117
2.377 6.723 4.117
0.000 0.000 8.234
Cu Pd Rh
23 6 1
direct
0.633 0.633 0.102
0.367 0.367 0.367
0.500 0.000 0.000
0.137 0.137 0.137
0.137 0.588 0.137
0.500 0.500 0.000
0.000 0.500 0.500
0.137 0.137 0.588
0.412 0.863 0.863
0.633 0.102 0.633
0.102 0.633 0.633
0.863 0.863 0.863
0.000 0.500 0.000
0.898 0.367 0.367
0.500 0.000 0.500
0.863 0.412 0.863
0.863 0.863 0.412
0.588 0.137 0.137
0.367 0.898 0.367
0.633 0.633 0.633
0.000 0.000 0.000
0.367 0.367 0.898
0.000 0.000 0.500
0.755 0.245 0.755
0.755 0.245 0.245
0.245 0.755 0.245
0.245 0.245 0.755
0.755 0.755 0.245
0.245 0.755 0.755
0.500 0.500 0.500

=====

(6)
Cu8Pd2Rh | the Alexandria database | PBE | optimized geometry; E = -49.9 eV for the cell shown; SG = Cmmm; energy of formation from the pure elements = 56 meV/atom
1.0
-3.890 -0.021 -0.682
-0.260 -7.387 1.721
-0.960 -2.570 5.558
Cu Rh Pd
8 1 2
direct
0.500 0.666 0.245
0.000 0.451 0.500
0.000 0.951 0.500
0.500 0.911 0.755
0.500 0.992 0.245
0.500 0.237 0.755
0.000 0.289 0.000
0.000 0.614 0.000
0.000 0.951 0.000
0.500 0.307 0.289
0.500 0.596 0.711

=====

(7)
Cu3PdRh2 | the Alexandria database | PBE | optimized geometry; E = -64.0 eV for the cell shown; SG = C2/m; energy of formation from the pure elements = 30 meV/atom
1.0
-3.444 2.936 -1.131
-1.948 -0.210 -4.232
-6.938 -4.660 2.561
Cu Rh Pd
6 4 2
direct
0.917 0.669 0.251
0.083 0.331 0.749
0.753 0.000 0.749
0.586 0.331 0.251
0.414 0.669 0.749
0.247 0.000 0.251
0.500 0.000 0.500
0.167 0.666 0.500
0.833 0.334 0.500
0.000 0.000 0.000
0.667 0.667 0.000
0.333 0.333 0.000

=====

(8)
Cu2PdRh | the Alexandria database | PBE | optimized geometry; E = -20.7 eV for the cell shown; SG = R3m; energy of formation from the pure elements = 14 meV/atom
1.0
2.705 0.000 0.000
1.352 2.342 0.000
1.352 0.781 8.612
Pd Rh Cu
1 1 2
direct
0.667 0.667 0.000
0.500 0.500 0.500
0.249 0.249 0.252
0.084 0.084 0.748

=====

(9)
CuPd6Rh | the Alexandria database | PBE | optimized geometry; E = -42.5 eV for the cell shown; energy above the most stable polymorph in this dataset = 0.0 meV/atom; SG = P4/mmm; energy of formation from the pure elements = 8 meV/atom
1.0
-0.978 -0.709 -3.723
2.836 -2.688 -0.233
-5.014 -5.495 2.364
Pd Rh Cu
6 1 1
direct
0.000 0.500 0.747
0.500 0.000 0.747
0.500 0.500 0.500
0.500 0.000 0.253
0.500 0.500 0.000
0.000 0.500 0.253
0.000 0.000 0.000
0.000 0.000 0.500

=====

(10)
Cu2Pd9Rh | the Alexandria database | PBE | optimized geometry; E = -62.4 eV for the cell shown; SG = P4/mmm; energy of formation from the pure elements = -12 meV/atom
1.0
-1.315 -1.584 -3.312
3.606 0.103 -1.481
2.070 -10.706 4.297
Pd Rh Cu
9 1 2
direct
0.000 0.500 0.500
0.500 0.000 0.170
0.000 0.500 0.830
0.500 0.500 0.000
0.500 0.000 0.500
0.500 0.500 0.665
0.000 0.500 0.170
0.500 0.500 0.335
0.500 0.000 0.830
0.000 0.000 0.000
0.000 0.000 0.335
0.000 0.000 0.665

=====

(11)
Cu14PdRh | the Alexandria database | PBE | optimized geometry; E = -69.8 eV for the cell shown; SG = Amm2; energy of formation from the pure elements = 7 meV/atom
1.0
-2.375 4.284 -1.577
-2.992 -4.007 1.215
-0.396 2.704 7.943
Cu Rh Pd
14 1 1
direct
0.373 0.627 0.248
0.698 0.802 0.000
0.200 0.800 0.000
0.872 0.128 0.753
0.373 0.627 0.752
0.552 0.945 0.500
0.873 0.624 0.757
0.873 0.624 0.243
0.376 0.127 0.757
0.376 0.127 0.243
0.872 0.128 0.247
0.055 0.448 0.500
0.700 0.300 0.000
0.198 0.302 0.000
0.555 0.445 0.500
0.054 0.946 0.500

=====

(12)
Cu9PdRh2 | the Alexandria database | PBE | optimized geometry; E = -56.8 eV for the cell shown; SG = P4/mmm; energy of formation from the pure elements = -1 meV/atom
1.0
3.703 0.000 0.000
0.000 3.703 0.000
0.000 0.000 11.136
Cu Rh Pd
9 2 1
direct
0.500 0.500 0.000
0.500 0.500 0.333
0.000 0.500 0.169
0.500 0.000 0.169
0.000 0.500 0.500
0.500 0.000 0.831
0.500 0.000 0.500
0.500 0.500 0.667
0.000 0.500 0.831
0.000 0.000 0.335
0.000 0.000 0.665
0.000 0.000 0.000